Record 1
{
  "formula": "AlCoRu2S",
  "functional": "GGA-PBE",
  "state": "optimized geometry",
  "m_tot_mub_per_fu": 0.0,
  "formation_energy_uncorrected_mev_per_atom": 205,
  "cell": [[4.330, 0.000, 0.000], [0.000, 4.330, 0.000], [0.000, 0.000, 4.022]],
  "species": ["Ru", "Ru", "S", "Al", "Co"],
  "fractional_positions": [[0.500, 0.000, 0.000], [0.000, 0.500, 0.000], [0.000, 0.000, 0.000], [0.500, 0.500, 0.500], [0.000, 0.000, 0.500]]
}

***

Record 2
{
  "formula": "Sc3Al3CoRu2",
  "functional": "GGA-PBE",
  "state": "optimized geometry",
  "m_tot_mub_per_fu": 0.0,
  "delta_e_f_ev_per_atom": -0.51,
  "cell": [[-1.731, -0.160, 2.583], [6.052, -1.274, 3.978], [-2.288, 6.901, -1.106]],
  "species": ["Al", "Al", "Al", "Ru", "Ru", "Sc", "Sc", "Sc", "Co"],
  "fractional_positions": [[0.000, 0.000, 0.382], [0.000, 0.618, 0.618], [0.000, 0.382, 0.000], [0.500, 0.333, 0.667], [0.500, 0.667, 0.333], [0.500, 0.730, 0.000], [0.500, 0.000, 0.730], [0.500, 0.270, 0.270], [0.000, 0.000, 0.000]]
}

***

Record 3
{
  "formula": "Al2CoSiRu",
  "functional": "GGA-PBE",
  "state": "optimized geometry",
  "m_tot_mub_per_fu": 0.0,
  "formation_energy_uncorrected_mev_per_atom": 771,
  "cell": [[4.628, 0.000, 0.000], [0.000, 4.472, 0.000], [0.000, 0.000, 4.628]],
  "species": ["Al", "Al", "Co", "Ru", "Si"],
  "fractional_positions": [[0.000, 0.000, 0.500], [0.500, 0.000, 0.000], [0.000, 0.500, 0.000], [0.000, 0.000, 0.000], [0.500, 0.500, 0.500]]
}

***

Record 4
{
  "formula": "TbAlCoRu",
  "functional": "GGA-PBE",
  "state": "optimized geometry",
  "m_tot_mub_per_fu": 0.0,
  "delta_e_f_ev_per_atom": -0.30,
  "cell": [[4.481, 0.000, 0.000], [2.241, 3.881, 0.000], [2.241, 1.294, 3.659]],
  "species": ["Al", "Co", "Ru", "Tb"],
  "fractional_positions": [[0.500, 0.500, 0.500], [0.750, 0.750, 0.750], [0.250, 0.250, 0.250], [0.000, 0.000, 0.000]]
}

***

Record 5
{
  "formula": "AlCoTcRu",
  "functional": "GGA-PBE",
  "state": "optimized geometry",
  "m_tot_mub_per_fu": 2.6,
  "delta_e_f_ev_per_atom": -0.16,
  "cell": [[-3.269, 0.934, -2.536], [0.480, -0.125, -4.212], [-1.874, -3.062, -2.258]],
  "species": ["Tc", "Ru", "Co", "Al"],
  "fractional_positions": [[0.500, 0.500, 0.500], [0.250, 0.250, 0.250], [0.750, 0.750, 0.750], [0.000, 0.000, 0.000]]
}

***

Record 6
{
  "formula": "TmAlCoRu",
  "functional": "GGA-PBE",
  "state": "optimized geometry",
  "m_tot_mub_per_fu": 0.0,
  "delta_e_f_ev_per_atom": -0.40,
  "cell": [[-4.060, 0.036, 1.783], [-1.332, -3.375, 2.549], [-0.498, 0.582, 4.367]],
  "species": ["Ru", "Co", "Tm", "Al"],
  "fractional_positions": [[0.750, 0.750, 0.750], [0.250, 0.250, 0.250], [0.500, 0.500, 0.500], [0.000, 0.000, 0.000]]
}

***

Record 7
{
  "formula": "U3Al3CoRu2",
  "functional": "GGA-PBE",
  "state": "optimized geometry",
  "m_tot_mub_per_fu": 4.8,
  "delta_e_f_ev_per_atom": -0.36,
  "cell": [[4.767, 4.281, -2.172], [-5.051, -1.812, -4.121], [-2.205, 3.128, 1.327]],
  "species": ["U", "U", "U", "Ru", "Ru", "Co", "Al", "Al", "Al"],
  "fractional_positions": [[0.416, 0.000, 0.500], [0.584, 0.584, 0.500], [0.000, 0.416, 0.500], [0.667, 0.333, 0.000], [0.333, 0.667, 0.000], [0.000, 0.000, 0.500], [0.769, 0.000, 0.000], [0.231, 0.231, 0.000], [0.000, 0.769, 0.000]]
}

***

Record 8
{
  "formula": "AlCo2S4",
  "functional": "GGA-PBE",
  "state": "optimized geometry",
  "m_tot_mub_per_fu": 0.0,
  "formation_energy_uncorrected_mev_per_atom": -457,
  "relative_energy_mev_per_atom": 91,
  "cell": [[-3.359, 3.462, 4.714], [3.359, -3.462, 4.714], [3.359, 3.462, -4.714]],
  "species": ["Al", "Al", "Co", "Co", "Co", "Co", "S", "S", "S", "S", "S", "S", "S", "S"],
  "fractional_positions": [[0.500, 0.000, 0.500], [0.000, 0.000, 0.000], [0.500, 0.000, 0.000], [0.500, 0.500, 0.500], [0.000, 0.500, 0.500], [0.500, 0.500, 0.000], [0.737, 0.723, 0.486], [0.278, 0.746, 0.532], [0.714, 0.746, 0.968], [0.737, 0.251, 0.014], [0.286, 0.254, 0.032], [0.263, 0.277, 0.514], [0.263, 0.749, 0.986], [0.722, 0.254, 0.468]]
}

***

Question: Number 8 is which compound?
Answer: AlCo2S4